a | Below is a geometry-optimized SrAlAu4 structure, with properties calculated at the PBE-GGA level.

POSCAR file:
```
SrAlAu4
1.0
0.000 4.002 4.002
4.002 0.000 4.002
4.002 4.002 0.000
Sr Al Au
1 1 4
direct
0.000 0.000 0.000
0.750 0.750 0.750
0.375 0.375 0.375
0.375 0.375 0.874
0.375 0.874 0.375
0.874 0.375 0.375
```

b | Below is a geometry-optimized SrAlAu4 structure, with properties calculated at the PBE-GGA level.

POSCAR file:
```
SrAlAu4
1.0
4.800 0.000 0.000
0.000 4.800 0.000
0.000 0.000 7.483
Sr Al Au
1 1 4
direct
0.000 0.000 0.000
0.500 0.500 0.500
0.000 0.500 0.500
0.500 0.000 0.500
0.500 0.500 0.175
0.500 0.500 0.825
```

Least stable: b

a | Below is a geometry-optimized Sr2AlAu3 structure, with properties calculated at the PBE-GGA level.

POSCAR file:
```
Sr2AlAu3
1.0
4.164 0.000 0.000
0.000 4.636 0.000
0.000 0.000 8.133
Sr Al Au
2 1 3
direct
0.000 0.000 0.000
0.000 0.500 0.471
0.500 0.500 0.809
0.500 0.000 0.327
0.500 0.000 0.676
0.500 0.500 0.123
```

b | Below is a geometry-optimized Sr2AlAu3 structure, with properties calculated at the PBE-GGA level.

POSCAR file:
```
Sr2AlAu3
1.0
0.000 4.701 8.056
4.141 0.000 8.056
4.141 4.701 0.000
Sr Al Au
4 2 6
direct
0.239 0.761 0.761
0.250 0.250 0.250
0.750 0.750 0.750
0.761 0.239 0.239
0.333 0.333 0.667
0.667 0.667 0.333
0.176 0.176 0.824
0.179 0.646 0.354
0.354 0.821 0.179
0.646 0.179 0.821
0.821 0.354 0.646
0.824 0.824 0.176
```

Least stable: b

a | Below is a geometry-optimized Sr2Al3Au5 structure, with properties calculated at the PBE-GGA level.

POSCAR file:
```
Sr2Al3Au5
1.0
-5.385 6.418 3.192
5.385 -6.418 3.192
5.385 6.418 -3.192
Sr Al Au
4 6 10
direct
0.135 0.234 0.369
0.365 0.734 0.098
0.635 0.266 0.902
0.865 0.766 0.631
0.134 0.897 0.031
0.250 0.750 0.500
0.366 0.397 0.762
0.634 0.603 0.238
0.750 0.250 0.500
0.866 0.103 0.969
0.019 0.750 0.269
0.098 0.663 0.761
0.250 0.250 0.000
0.402 0.163 0.565
0.481 0.750 0.731
0.519 0.250 0.269
0.598 0.837 0.435
0.750 0.750 0.000
0.902 0.337 0.239
0.981 0.250 0.731
```

b | Below is a geometry-optimized Sr2Al3Au5 structure, with properties calculated at the PBE-GGA level.

POSCAR file:
```
Sr2Al3Au5
1.0
4.406 0.000 0.000
0.000 4.406 0.000
0.000 0.000 11.547
Sr Al Au
2 3 5
direct
0.000 0.500 0.243
0.500 0.000 0.757
0.000 0.500 0.627
0.500 0.000 0.373
0.500 0.500 0.500
0.000 0.000 0.000
0.000 0.000 0.500
0.000 0.500 0.842
0.500 0.000 0.158
0.500 0.500 0.000
```

Least stable: b

a | Below is a geometry-optimized Sr2Al2Au structure, with properties calculated at the PBE-GGA level.

POSCAR file:
```
Sr2Al2Au
1.0
4.546 0.000 0.000
0.000 4.346 0.000
0.000 0.000 14.155
Sr Al Au
4 4 2
direct
0.000 0.000 0.000
0.000 0.000 0.251
0.000 0.500 0.500
0.000 0.500 0.751
0.500 0.000 0.430
0.500 0.000 0.626
0.500 0.500 0.126
0.500 0.500 0.930
0.500 0.000 0.820
0.500 0.500 0.320
```

b | Below is a geometry-optimized Sr2Al2Au structure, with properties calculated at the PBE-GGA level.

POSCAR file:
```
Sr2Al2Au
1.0
6.392 0.000 0.000
0.000 6.392 0.000
0.000 0.000 7.445
Sr Al Au
4 4 2
direct
0.000 0.500 0.250
0.000 0.500 0.750
0.500 0.000 0.250
0.500 0.000 0.750
0.000 0.000 0.163
0.000 0.000 0.837
0.500 0.500 0.337
0.500 0.500 0.663
0.000 0.000 0.500
0.500 0.500 0.000
```

Least stable: b

a | Below is a geometry-optimized Sr2Al2Au structure, with properties calculated at the PBE-GGA level.

POSCAR file:
```
Sr2Al2Au
1.0
7.270 0.000 0.000
0.000 7.270 0.000
0.000 0.000 5.106
Sr Al Au
4 4 2
direct
0.176 0.324 0.000
0.324 0.824 0.000
0.676 0.176 0.000
0.824 0.676 0.000
0.131 0.631 0.500
0.369 0.131 0.500
0.631 0.869 0.500
0.869 0.369 0.500
0.000 0.000 0.500
0.500 0.500 0.500
```

b | Below is a geometry-optimized Sr2Al2Au structure, with properties calculated at the PBE-GGA level.

POSCAR file:
```
Sr2Al2Au
1.0
3.879 0.000 0.000
0.000 3.879 0.000
0.000 0.000 19.192
Sr Al Au
4 4 2
direct
0.000 0.000 0.098
0.000 0.000 0.902
0.500 0.500 0.402
0.500 0.500 0.598
0.000 0.500 0.250
0.000 0.500 0.750
0.500 0.000 0.250
0.500 0.000 0.750
0.000 0.000 0.500
0.500 0.500 0.000
```

Least stable: b

a | Below is a geometry-optimized TaAl2Au structure, with properties calculated at the PBE-GGA level.

POSCAR file:
```
TaAl2Au
1.0
4.148 0.000 0.000
0.000 4.148 0.000
0.000 0.000 3.806
Ta Al Au
1 2 1
direct
0.000 0.000 0.000
0.000 0.500 0.500
0.500 0.000 0.500
0.500 0.500 0.000
```

b | Below is a geometry-optimized TaAl2Au structure, with properties calculated at the PBE-GGA level.

POSCAR file:
```
TaAl2Au
1.0
3.967 0.000 0.000
0.000 3.967 0.000
0.000 0.000 8.685
Ta Al Au
2 4 2
direct
0.000 0.000 0.000
0.500 0.500 0.500
0.000 0.500 0.250
0.000 0.500 0.750
0.500 0.000 0.250
0.500 0.000 0.750
0.000 0.000 0.500
0.500 0.500 0.000
```

Least stable: b

a | Below is a geometry-optimized TaAl2Au structure, with properties calculated at the PBE-GGA level.

POSCAR file:
```
TaAl2Au
1.0
2.884 0.000 0.000
0.000 4.496 0.000
-0.006 0.000 5.290
Ta Al Au
1 2 1
direct
0.000 0.000 0.000
0.499 0.000 0.477
0.501 0.500 0.209
0.499 0.500 0.723
```

b | Below is a geometry-optimized TaAl2Au structure, with properties calculated at the PBE-GGA level.

POSCAR file:
```
TaAl2Au
1.0
2.953 0.000 0.000
-1.477 2.558 0.000
0.000 0.000 27.090
Ta Al Au
3 6 3
direct
0.000 0.000 0.000
0.333 0.667 0.667
0.667 0.333 0.333
0.000 0.000 0.249
0.000 0.000 0.751
0.333 0.667 0.417
0.333 0.667 0.916
0.667 0.333 0.084
0.667 0.333 0.583
0.000 0.000 0.500
0.333 0.667 0.167
0.667 0.333 0.833
```

Least stable: a

a | Below is a geometry-optimized TaAl2Au structure, with properties calculated at the PBE-GGA level.

POSCAR file:
```
TaAl2Au
1.0
6.501 0.000 0.000
0.000 6.501 0.000
0.000 0.000 6.501
Ta Al Au
4 8 4
direct
0.000 0.000 0.000
0.000 0.500 0.500
0.500 0.000 0.500
0.500 0.500 0.000
0.000 0.000 0.500
0.000 0.500 0.000
0.250 0.250 0.250
0.250 0.750 0.750
0.500 0.000 0.000
0.500 0.500 0.500
0.750 0.250 0.750
0.750 0.750 0.250
0.250 0.250 0.750
0.250 0.750 0.250
0.750 0.250 0.250
0.750 0.750 0.750
```

b | Below is a geometry-optimized TaAl2Au structure, with properties calculated at the PBE-GGA level.

POSCAR file:
```
TaAl2Au
1.0
2.932 0.000 0.000
0.000 4.169 0.000
0.000 0.000 5.603
Ta Al Au
1 2 1
direct
0.000 0.000 0.000
0.500 0.500 0.235
0.500 0.500 0.765
0.500 0.000 0.500
```

c | Below is a geometry-optimized TaAl2Au structure, with properties calculated at the PBE-GGA level.

POSCAR file:
```
TaAl2Au
1.0
2.901 0.000 0.000
0.000 2.901 0.000
0.000 0.000 7.890
Ta Al Au
1 2 1
direct
0.000 0.000 0.000
0.500 0.500 0.253
0.500 0.500 0.747
0.000 0.000 0.500
```

Least stable: a

a | Below is a geometry-optimized Tb3Al8Au3 structure, with properties calculated at the PBE-GGA level.

POSCAR file:
```
Tb3Al8Au3
1.0
-2.184 5.024 6.262
2.184 -5.024 6.262
2.184 5.024 -6.262
Tb Al Au
3 8 3
direct
0.000 0.000 0.000
0.310 0.310 0.000
0.690 0.690 0.000
0.037 0.666 0.371
0.154 0.871 0.283
0.295 0.666 0.629
0.411 0.129 0.283
0.589 0.871 0.717
0.705 0.334 0.371
0.846 0.129 0.717
0.963 0.334 0.629
0.277 0.500 0.777
0.500 0.000 0.500
0.723 0.500 0.223
```

b | Below is a geometry-optimized Tb3Al8Au3 structure, with properties calculated at the PBE-GGA level.

POSCAR file:
```
Tb3Al8Au3
1.0
7.984 -2.191 0.000
7.984 2.191 0.000
-5.902 0.000 7.764
Tb Al Au
3 8 3
direct
0.000 0.000 0.000
0.300 0.300 0.302
0.700 0.700 0.698
0.140 0.140 0.860
0.144 0.144 0.425
0.342 0.342 0.966
0.497 0.497 0.306
0.503 0.503 0.694
0.658 0.658 0.034
0.856 0.856 0.575
0.860 0.860 0.140
0.000 0.000 0.500
0.347 0.347 0.708
0.653 0.653 0.292
```

Least stable: a

a | Below is a geometry-optimized Tb2Al3Au2 structure, with properties calculated at the PBE-GGA level.

POSCAR file:
```
Tb2Al3Au2
1.0
10.595 0.000 0.000
0.000 4.358 0.000
-2.852 0.000 6.224
Tb Al Au
4 6 4
direct
0.148 0.000 0.281
0.352 0.500 0.719
0.648 0.500 0.281
0.852 0.000 0.719
0.000 0.500 0.500
0.103 0.500 0.931
0.397 0.000 0.069
0.500 0.000 0.500
0.603 0.000 0.931
0.897 0.500 0.069
0.150 0.000 0.740
0.350 0.500 0.260
0.650 0.500 0.740
0.850 0.000 0.260
```

b | Below is a geometry-optimized Tb2Al3Au2 structure, with properties calculated at the PBE-GGA level.

POSCAR file:
```
Tb2Al3Au2
1.0
2.149 -9.407 0.000
2.149 9.407 0.000
0.000 0.000 7.316
Tb Al Au
4 6 4
direct
0.052 0.948 0.750
0.157 0.843 0.250
0.843 0.157 0.750
0.948 0.052 0.250
0.224 0.776 0.750
0.440 0.560 0.575
0.440 0.560 0.925
0.560 0.440 0.075
0.560 0.440 0.425
0.776 0.224 0.250
0.312 0.688 0.049
0.312 0.688 0.451
0.688 0.312 0.549
0.688 0.312 0.951
```

Least stable: b

a | Below is a geometry-optimized TbAl4Au2 structure, with properties calculated at the PBE-GGA level.

POSCAR file:
```
TbAl4Au2
1.0
8.096 0.000 0.000
0.000 8.096 0.000
0.000 0.000 4.041
Tb Al Au
2 8 4
direct
0.000 0.000 0.000
0.500 0.500 0.500
0.084 0.336 0.500
0.164 0.584 0.000
0.336 0.084 0.500
0.416 0.836 0.000
0.584 0.164 0.000
0.664 0.916 0.500
0.836 0.416 0.000
0.916 0.664 0.500
0.208 0.792 0.500
0.292 0.292 0.000
0.708 0.708 0.000
0.792 0.208 0.500
```

b | Below is a geometry-optimized TbAl4Au2 structure, with properties calculated at the PBE-GGA level.

POSCAR file:
```
TbAl4Au2
1.0
17.307 0.000 0.000
0.000 4.347 0.000
0.000 0.000 6.890
Tb Al Au
4 16 8
direct
0.141 0.250 0.012
0.359 0.750 0.512
0.641 0.250 0.488
0.859 0.750 0.988
0.035 0.750 0.856
0.067 0.250 0.476
0.184 0.750 0.326
0.189 0.750 0.729
0.311 0.250 0.229
0.316 0.250 0.826
0.433 0.750 0.976
0.465 0.250 0.356
0.535 0.750 0.644
0.567 0.250 0.024
0.684 0.750 0.174
0.689 0.750 0.771
0.811 0.250 0.271
0.816 0.250 0.674
0.933 0.750 0.524
0.965 0.250 0.144
0.036 0.750 0.248
0.217 0.250 0.531
0.283 0.750 0.031
0.464 0.250 0.748
0.536 0.750 0.252
0.717 0.250 0.969
0.783 0.750 0.469
0.964 0.250 0.752
```

Least stable: a